The following is a PBE calculation of a relaxed structure of Nd2ScIr, from Alexandria via LeMat-Bulk.

Computed properties:
Calculated volume: 31.61 Å³ per atom
Uncorrected energy: -6.11 eV/atom
Symmetry: R-3m, No. 166
Mass density: 6.90 g/cm³
Total moment: 0.6 Bohr magnetons per cell

Cell lengths 10.6679, 10.6679, 10.6679 Å; angles 20.18, 20.18, 20.18 degrees
With the nearest neighbours (Å) after each atom.
Fractional positions:
Nd1 0.1087 0.1087 0.1087  3 Ir 2.82
Nd2 0.8913 0.8913 0.8913  3 Ir 2.82
Sc1 0.0000 0.0000 0.0000  2 Nd 3.41, 6 Sc 3.74
Ir1 0.5000 0.5000 0.5000  6 Nd 2.82